(1)
# Pd16S7, single point on PBEsol structure, DFT SCAN
data_Pd16S7
_cell_length_a 8.877
_cell_length_b 8.877
_cell_length_c 8.877
_cell_angle_alpha 90.00
_cell_angle_beta 90.00
_cell_angle_gamma 90.00
_symmetry_space_group_name_H-M 'I -4 3 m'
_symmetry_Int_Tables_number 217
_symmetry_space_group_name_Hall 'I -4 2 3'
loop_
_atom_site_label
_atom_site_type_symbol
_atom_site_fract_x
_atom_site_fract_y
_atom_site_fract_z
Pd1 Pd 0.084 0.331 0.669
Pd2 Pd 0.115 0.115 0.115
S1 S 0.000 0.000 0.500
S2 S 0.155 0.155 0.845
# Spin magnetization = 0.0 Bohr magnetons per cell
# V = 349.8 Å³/f.u.
# Formation energy without anion corrections = -0.31 eV/atom
# Fermi-level density of states = 31.830 states/eV per cell


(2)
# MgTcSN2, single point on PBEsol structure, DFT SCAN
data_MgTcSN2
_cell_length_a 3.861
_cell_length_b 3.861
_cell_length_c 4.703
_cell_angle_alpha 90.00
_cell_angle_beta 90.00
_cell_angle_gamma 90.00
_symmetry_space_group_name_H-M 'P 4/m m m'
_symmetry_Int_Tables_number 123
_symmetry_space_group_name_Hall '-P 4 2'
loop_
_atom_site_label
_atom_site_type_symbol
_atom_site_fract_x
_atom_site_fract_y
_atom_site_fract_z
Mg1 Mg 0.000 0.000 0.000
Tc1 Tc 0.500 0.500 0.500
S1 S 0.000 0.000 0.500
N1 N 0.000 0.500 0.000
# Spin magnetization = 0.9 Bohr magnetons per cell
# V = 70.1 Å³/f.u.
# Formation energy without anion corrections = 1.30 eV/atom
# Fermi-level density of states = 1.219 states/eV per cell


(3)
# Cd3In5, single point on PBEsol structure, DFT SCAN
data_Cd3In5
_cell_length_a 11.530
_cell_length_b 11.530
_cell_length_c 5.861
_cell_angle_alpha 90.00
_cell_angle_beta 90.00
_cell_angle_gamma 90.00
_symmetry_space_group_name_H-M 'I 4/m c m'
_symmetry_Int_Tables_number 140
_symmetry_space_group_name_Hall '-I 4 2c'
loop_
_atom_site_label
_atom_site_type_symbol
_atom_site_fract_x
_atom_site_fract_y
_atom_site_fract_z
Cd1 Cd 0.000 0.000 0.250
Cd2 Cd 0.177 0.323 0.000
In1 In 0.000 0.500 0.250
In2 In 0.068 0.232 0.500
# ΔH_f (0 K) = 90 meV per atom
# Spin magnetization = 0.0 Bohr magnetons per cell
# V = 194.8 Å³/f.u.
# Energy above the most stable polymorph in this dataset = 17 meV per atom
# Fermi-level density of states = 10.963 states/eV per cell